Computed, not measured: NiSnSb3 after structural relaxation at the PBE level of DFT.

Output
**Mass density**: 6.963 g/cm³
**Total energy**: -4.164 eV per atom
**Offset from the most stable computed form**: 252 meV/atom

abc: 5.0583 5.0583 5.0583
angles: 90.00 90.00 90.00
Element x y z (fractional)
Ni1 0.0000 0.0000 0.0000
Sn1 0.5000 0.5000 0.5000
Sb1 0.0000 0.0000 0.5000
Sb2 0.0000 0.5000 0.0000
Sb3 0.5000 0.0000 0.0000

---

Computed, not measured: Li2TlInPb after structural relaxation at the PBE level of DFT.

Output
**E_form**: -169 meV per atom
**Mass density**: 7.578 g/cm³
**Total energy**: -2.698 eV per atom

abc: 7.1399 4.5000 7.4394
angles: 90.00 97.84 90.00
Element x y z (fractional)
Li1 0.0412 0.2500 0.3503
Li2 0.4441 0.2500 0.1560
Li3 0.5559 0.7500 0.8440
Li4 0.9588 0.7500 0.6497
Tl1 0.1645 0.7500 0.0526
Tl2 0.8355 0.2500 0.9474
In1 0.3403 0.7500 0.4517
In2 0.6597 0.2500 0.5483
Pb1 0.2619 0.2500 0.7432
Pb2 0.7381 0.7500 0.2568

---

Computed, not measured: Nd2ZnPdO6 after structural relaxation at the PBE level of DFT.

Output
**Mass density**: 7.333 g/cm³
**Total energy**: -6.695 eV per atom

abc: 5.5057 5.8203 9.5900
angles: 90.00 124.93 90.00
Element x y z (fractional)
Nd1 0.2319 0.0686 0.2507
Nd2 0.2319 0.4314 0.7507
Nd3 0.7681 0.5686 0.2493
Nd4 0.7681 0.9314 0.7493
Zn1 0.5000 0.0000 0.0000
Zn2 0.5000 0.5000 0.5000
Pd1 0.0000 0.0000 0.5000
Pd2 0.0000 0.5000 0.0000
O1 0.1362 0.2044 0.9454
O2 0.1362 0.2956 0.4454
O3 0.2485 0.6958 0.9477
O4 0.2485 0.8042 0.4477
O5 0.3517 0.0331 0.7478
O6 0.3517 0.4669 0.2478
O7 0.6483 0.5331 0.7522
O8 0.6483 0.9669 0.2522
O9 0.7515 0.1958 0.5523
O10 0.7515 0.3042 0.0523
O11 0.8638 0.7044 0.5546
O12 0.8638 0.7956 0.0546

---

Computed, not measured: Cu2WBr after structural relaxation at the PBE level of DFT.

Output
**Mass density**: 9.955 g/cm³
**Total energy**: -4.626 eV per atom
**Offset from the most stable computed form**: 551 meV/atom

abc: 7.1775 7.1775 5.0621
angles: 90.00 90.00 90.00
Element x y z (fractional)
Cu1 0.2496 0.2500 0.1250
Cu2 0.2504 0.2500 0.6250
Cu3 0.2500 0.7496 0.3750
Cu4 0.2500 0.7504 0.8750
Cu5 0.7500 0.2504 0.3750
Cu6 0.7500 0.2496 0.8750
Cu7 0.7504 0.7500 0.1250
Cu8 0.7496 0.7500 0.6250
W1 0.0000 0.0000 0.0000
W2 0.0000 0.5000 0.2500
W3 0.5000 0.0000 0.7500
W4 0.5000 0.5000 0.5000
Br1 0.0000 0.0000 0.5000
Br2 0.0000 0.5000 0.7500
Br3 0.5000 0.0000 0.2500
Br4 0.5000 0.5000 0.0000

---

Computed, not measured: Ca2FeW after structural relaxation at the PBE level of DFT.

Output
**E_form**: 598 meV per atom
**Mass density**: 5.851 g/cm³
**Total energy**: -5.757 eV per atom
**Offset from the most stable computed form**: 175 meV/atom

abc: 3.4305 5.2274 10.1238
angles: 90.00 90.00 90.00
Element x y z (fractional)
Ca1 0.0000 0.0000 0.0000
Ca2 0.0000 0.5000 0.2092
Ca3 0.5000 0.0000 0.7092
Ca4 0.5000 0.5000 0.5000
Fe1 0.0000 0.5000 0.7609
Fe2 0.5000 0.0000 0.2609
W1 0.0000 0.0000 0.4064
W2 0.5000 0.5000 0.9064

---

Computed, not measured: CaLa2Pr3Sm6 after structural relaxation at the PBE level of DFT.

Output
**E_form**: 37 meV per atom
**Mass density**: 6.410 g/cm³
**Total energy**: -4.505 eV per atom

abc: 6.3962 6.3962 12.2053
angles: 95.04 95.04 120.03
Element x y z (fractional)
Ca1 0.0000 0.0000 0.0000
La1 0.3330 0.6670 0.0000
La2 0.6670 0.3330 0.0000
Pr1 0.1659 0.8341 0.5000
Pr2 0.5000 0.5000 0.5000
Pr3 0.8341 0.1659 0.5000
Sm1 0.0847 0.4224 0.2530
Sm2 0.2527 0.2527 0.7465
Sm3 0.4224 0.0847 0.2530
Sm4 0.5776 0.9153 0.7470
Sm5 0.7473 0.7473 0.2535
Sm6 0.9153 0.5776 0.7470

---

Computed, not measured: Tl3Cu2AsI8 after structural relaxation at the PBE level of DFT.

Output
**Mass density**: 5.428 g/cm³
**Total energy**: -2.609 eV per atom

abc: 8.2077 8.2077 9.5989
angles: 90.00 90.00 120.00
Element x y z (fractional)
Tl1 0.0000 0.0000 0.0000
Tl2 0.3333 0.6667 0.6067
Tl3 0.6667 0.3333 0.3933
Cu1 0.3333 0.6667 0.2084
Cu2 0.6667 0.3333 0.7916
As1 0.0000 0.0000 0.5000
I1 0.1621 0.3241 0.3134
I2 0.1621 0.8379 0.3134
I3 0.3241 0.1621 0.6866
I4 0.3333 0.6667 0.9493
I5 0.6667 0.3333 0.0507
I6 0.6759 0.8379 0.3134
I7 0.8379 0.1621 0.6866
I8 0.8379 0.6759 0.6866

---

Computed, not measured: Nb3SeI after structural relaxation at the PBE level of DFT.

Output
**Mass density**: 6.299 g/cm³
**Total energy**: -5.386 eV per atom
**Offset from the most stable computed form**: 828 meV/atom

abc: 5.0365 5.0365 5.0365
angles: 90.00 90.00 90.00
Element x y z (fractional)
Nb1 0.0000 0.0000 0.5000
Nb2 0.0000 0.5000 0.0000
Nb3 0.5000 0.0000 0.0000
Se1 0.5000 0.5000 0.5000
I1 0.0000 0.0000 0.0000

---

Computed, not measured: Li4InHg3 after structural relaxation at the PBE level of DFT.

Output
**E_form**: -356 meV per atom
**Mass density**: 8.274 g/cm³
**Total energy**: -1.769 eV per atom

abc: 3.3207 3.3207 13.5465
angles: 90.00 90.00 90.00
Element x y z (fractional)
Li1 0.0000 0.0000 0.1222
Li2 0.0000 0.0000 0.3630
Li3 0.0000 0.0000 0.6370
Li4 0.0000 0.0000 0.8778
In1 0.5000 0.5000 0.5000
Hg1 0.5000 0.5000 0.0000
Hg2 0.5000 0.5000 0.2440
Hg3 0.5000 0.5000 0.7560

---

Computed, not measured: HoEr3Ga8 after structural relaxation at the PBE level of DFT.

Output
**E_form**: -540 meV per atom
**Mass density**: 8.723 g/cm³
**Total energy**: -4.080 eV per atom

abc: 9.5708 9.5708 9.5708
angles: 33.13 33.13 33.13
Element x y z (fractional)
Ho1 0.0000 0.0000 0.0000
Er1 0.3762 0.3762 0.3762
Er2 0.4999 0.4999 0.4999
Er3 0.8761 0.8761 0.8761
Ga1 0.1880 0.1880 0.1880
Ga2 0.4379 0.4379 0.9379
Ga3 0.4379 0.9379 0.4379
Ga4 0.4383 0.9381 0.9381
Ga5 0.6881 0.6881 0.6881
Ga6 0.9379 0.4379 0.4379
Ga7 0.9381 0.4383 0.9381
Ga8 0.9381 0.9381 0.4383

---

Computed, not measured: NaSrErTl after structural relaxation at the PBE level of DFT.

Output
**E_form**: -55 meV per atom
**Mass density**: 6.353 g/cm³
**Total energy**: -2.538 eV per atom

abc: 7.9590 7.9590 7.9590
angles: 90.00 90.00 90.00
Element x y z (fractional)
Na1 0.0000 0.0000 0.0000
Na2 0.0000 0.5000 0.5000
Na3 0.5000 0.0000 0.5000
Na4 0.5000 0.5000 0.0000
Sr1 0.2500 0.2500 0.2500
Sr2 0.2500 0.7500 0.7500
Sr3 0.7500 0.2500 0.7500
Sr4 0.7500 0.7500 0.2500
Er1 0.2500 0.2500 0.7500
Er2 0.2500 0.7500 0.2500
Er3 0.7500 0.2500 0.2500
Er4 0.7500 0.7500 0.7500
Tl1 0.0000 0.0000 0.5000
Tl2 0.0000 0.5000 0.0000
Tl3 0.5000 0.0000 0.0000
Tl4 0.5000 0.5000 0.5000

---

Computed, not measured: BaZrTaNb2 after structural relaxation at the PBE level of DFT.

Output
**E_form**: 2405 meV per atom
**Mass density**: 7.654 g/cm³
**Total energy**: -6.088 eV per atom

abc: 5.0312 5.0312 5.1025
angles: 90.00 90.00 90.00
Element x y z (fractional)
Ba1 0.0000 0.0000 0.0000
Zr1 0.5000 0.5000 0.5000
Ta1 0.0000 0.0000 0.5000
Nb1 0.0000 0.5000 0.0000
Nb2 0.5000 0.0000 0.0000

---

Copy entry 12 word for word.
Computed, not measured: BaZrTaNb2 after structural relaxation at the PBE level of DFT.

Output
**E_form**: 2405 meV per atom
**Mass density**: 7.654 g/cm³
**Total energy**: -6.088 eV per atom

abc: 5.0312 5.0312 5.1025
angles: 90.00 90.00 90.00
Element x y z (fractional)
Ba1 0.0000 0.0000 0.0000
Zr1 0.5000 0.5000 0.5000
Ta1 0.0000 0.0000 0.5000
Nb1 0.0000 0.5000 0.0000
Nb2 0.5000 0.0000 0.0000

---

> What is the total energy in the fourth record?

-4.626 eV per atom